{
  "formula": "SiRhOF2",
  "functional": "PBE-GGA",
  "state": "relaxed",
  "e_form_raw_ev_per_fu": -1.6,
  "de_polymorph_mev_per_atom": 597,
  "rho_g_cm3": 4.22,
  "cell": [[-2.1512, -0.2813, -3.1401], [4.1100, -0.6478, -2.7576], [-0.2521, -3.7739, 0.5108]],
  "species": ["O", "Rh", "F", "F", "Si"],
  "frac_coords": [[0.5000, 0.5000, 0.5000], [0.0000, 0.0000, 0.0000], [0.5000, 0.0000, 0.0000], [0.0000, 0.0000, 0.5000], [0.0000, 0.5000, 0.0000]]
}